DFT (GGA-PBE) results for MgTeSe after structural relaxation.

Computed properties:
Relative energy among the computed polymorphs in meV per atom: 301.8
DOS(E_F) in states/eV/cell: 3.0
Total DFT energy (no corrections) in eV/atom: -3.11
Formation energy from raw total energies in eV per atom: -0.367

a = 4.0741 Å, b = 4.0741 Å, c = 5.4027 Å
α = 90.00°, β = 90.00°, γ = 120.00°
Last column: nearest neighbours and their distance in Å.
Fractional positions:
Mg 0.0000 0.0000 0.0387  3 Se 2.65
Se 0.3333 0.6667 0.2656  3 Mg 2.65
Te 0.6667 0.3333 0.6957  3 Mg 2.99, 3 Se 3.31